No. 1
Zr2ZnRh2 | PBE | relaxed

Structure (CIF):
```
data_Zr2ZnRh2
_cell_length_a 5.554
_cell_length_b 12.707
_cell_length_c 5.232
_cell_angle_alpha 90.00
_cell_angle_beta 90.00
_cell_angle_gamma 90.00
_space_group_name_H-M_alt 'I b a m'
_space_group_IT_number 72
_space_group_name_Hall '-I 2 2c'
loop_
_atom_site_label
_atom_site_type_symbol
_atom_site_fract_x
_atom_site_fract_y
_atom_site_fract_z
Zr1 Zr 0.204 0.176 0.000
Zn1 Zn 0.000 0.000 0.250
Rh1 Rh 0.182 0.384 0.000
```

Properties
The value obtained for the formation energy is -0.515 eV per atom.

***

No. 2
ZrZn2Rh | PBE | relaxed

Structure (CIF):
```
data_ZrZn2Rh
_cell_length_a 9.328
_cell_length_b 3.317
_cell_length_c 4.456
_cell_angle_alpha 90.00
_cell_angle_beta 105.84
_cell_angle_gamma 90.00
_space_group_name_H-M_alt 'C 1 2/m 1'
_space_group_IT_number 12
loop_
_space_group_symop_operation_xyz
'x,y,z'
'-x,-y,-z'
'-x,y,-z'
'x,-y,z'
'x+1/2,y+1/2,z'
'-x+1/2,-y+1/2,-z'
'-x+1/2,y+1/2,-z'
'x+1/2,-y+1/2,z'
loop_
_atom_site_label
_atom_site_type_symbol
_atom_site_fract_x
_atom_site_fract_y
_atom_site_fract_z
Zr1 Zr 0.000 0.000 0.000
Zn1 Zn 0.239 0.000 0.721
Rh1 Rh 0.000 0.500 0.500
```

Properties
The value obtained for the formation energy is -0.355 eV per atom.

***

No. 3
Zr3ZnRh | PBE | relaxed

Structure (CIF):
```
data_Zr3ZnRh
_cell_length_a 5.013
_cell_length_b 5.013
_cell_length_c 5.013
_cell_angle_alpha 90.00
_cell_angle_beta 90.00
_cell_angle_gamma 90.00
_space_group_name_H-M_alt 'P m -3 m'
_space_group_IT_number 221
_space_group_name_Hall '-P 4 2 3'
loop_
_atom_site_label
_atom_site_type_symbol
_atom_site_fract_x
_atom_site_fract_y
_atom_site_fract_z
Zr1 Zr 0.000 0.000 0.500
Zn1 Zn 0.500 0.500 0.500
Rh1 Rh 0.000 0.000 0.000
```

Properties
The energy relative to the lowest polymorph listed for this composition comes out at 0.00 kcal/mol of atoms. The value obtained for the formation energy is 0.310 eV per atom.

***

No. 4
Zr2ZnRh | PBE | relaxed

Structure (CIF):
```
data_Zr2ZnRh
_cell_length_a 6.574
_cell_length_b 6.574
_cell_length_c 6.574
_cell_angle_alpha 90.00
_cell_angle_beta 90.00
_cell_angle_gamma 90.00
_space_group_name_H-M_alt 'F -4 3 m'
_space_group_IT_number 216
_space_group_name_Hall 'F -4 2 3'
loop_
_atom_site_label
_atom_site_type_symbol
_atom_site_fract_x
_atom_site_fract_y
_atom_site_fract_z
Zr1 Zr 0.000 0.000 0.000
Zr2 Zr 0.250 0.250 0.250
Zn1 Zn 0.250 0.250 0.750
Rh1 Rh 0.000 0.000 0.500
```

Properties
The value obtained for the formation energy is -0.259 eV per atom.